Record 1
A relaxed structure of YTm2Th. Source: the Alexandria database, functional PBE.

abc: 3.551 3.551 11.620
angles: 81.21 81.21 60.00
Sites, in units of the cell vectors:
1 Y 0.500 0.500 0.500
2 Tm 0.251 0.251 0.246
3 Tm 0.749 0.749 0.754
4 Th 0.000 0.000 0.000

Summary:
relative energy among the computed polymorphs	0.0214	eV/atom
E	-5.682	eV/atom
space-group type	No. 166

Record 2
A relaxed structure of Y4TmTh3. Source: the Alexandria database, functional PBE.

abc: 5.039 10.115 10.099
angles: 90.00 90.00 90.00
Sites, in units of the cell vectors:
1 Y 0.064 0.869 0.000
2 Y 0.564 0.128 0.000
3 Y 0.064 0.129 0.251
4 Y 0.564 0.871 0.249
5 Y 0.064 0.872 0.500
6 Y 0.564 0.131 0.500
7 Y 0.564 0.871 0.751
8 Y 0.064 0.129 0.749
9 Tm 0.064 0.378 0.000
10 Tm 0.564 0.622 0.500
11 Th 0.564 0.622 0.000
12 Th 0.064 0.621 0.248
13 Th 0.564 0.379 0.252
14 Th 0.064 0.378 0.500
15 Th 0.564 0.379 0.748
16 Th 0.064 0.621 0.752

Summary:
E	-6.544	eV/atom
space-group type	No. 59

Record 3
A relaxed structure of Y5Tm2Th5. Source: the Alexandria database, functional PBE.

abc: 5.047 7.929 10.739
angles: 72.73 76.41 71.44
Sites, in units of the cell vectors:
1 Y 0.500 0.500 0.500
2 Y 0.332 0.332 0.004
3 Y 0.417 0.919 0.248
4 Y 0.583 0.081 0.752
5 Y 0.668 0.668 0.996
6 Tm 0.916 0.417 0.750
7 Tm 0.084 0.583 0.250
8 Th 0.831 0.835 0.504
9 Th 0.251 0.753 0.745
10 Th 0.749 0.247 0.255
11 Th 0.169 0.165 0.496
12 Th 0.000 0.000 0.000

Summary:
E	-6.480	eV/atom
space-group type	No. 12

Record 4
A relaxed structure of Y5Tm4Th. Source: the Alexandria database, functional PBE.

abc: 3.516 11.381 11.889
angles: 137.13 98.50 90.00
Sites, in units of the cell vectors:
1 Y 0.206 0.295 0.412
2 Y 0.191 0.801 0.381
3 Y 0.809 0.199 0.619
4 Y 0.500 0.500 0.000
5 Y 0.794 0.705 0.588
6 Tm 0.605 0.911 0.210
7 Tm 0.083 0.371 0.167
8 Tm 0.395 0.089 0.790
9 Tm 0.917 0.629 0.833
10 Th 0.500 0.000 0.000

Summary:
relative energy among the computed polymorphs	0.0000	eV/atom
E	-5.730	eV/atom
space-group type	No. 12

Record 5
A relaxed structure of Y7TmTh3. Source: the Alexandria database, functional PBE.

abc: 8.528 7.107 7.107
angles: 120.00 90.00 90.00
Sites, in units of the cell vectors:
1 Y 0.114 0.168 0.832
2 Y 0.114 0.168 0.336
3 Y 0.110 0.667 0.333
4 Y 0.453 0.832 0.168
5 Y 0.453 0.335 0.168
6 Y 0.453 0.832 0.665
7 Y 0.114 0.664 0.832
8 Tm 0.456 0.333 0.667
9 Th 0.782 0.499 0.501
10 Th 0.782 0.499 0.999
11 Th 0.782 0.001 0.501

Summary:
relative energy among the computed polymorphs	0.0546	eV/atom
E	-6.332	eV/atom
space-group type	No. 156

Record 6
A relaxed structure of Y2Tm4Th. Source: the Alexandria database, functional PBE.

abc: 3.573 3.573 19.909
angles: 95.17 90.00 120.01
Sites, in units of the cell vectors:
1 Y 0.619 0.239 0.095
2 Y 0.714 0.429 0.380
3 Tm 0.905 0.809 0.952
4 Tm 0.429 0.857 0.523
5 Tm 0.001 0.001 0.237
6 Tm 0.524 0.048 0.813
7 Th 0.809 0.619 0.668

Summary:
relative energy among the computed polymorphs	0.0000	eV/atom
E	-5.443	eV/atom
space-group type	No. 8

Record 7
A relaxed structure of Y4Tm5Th2. Source: the Alexandria database, functional PBE.

abc: 3.415 9.157 13.130
angles: 110.41 97.47 90.00
Last column: magnetic moment on the atom in μB.
Sites, in units of the cell vectors:
1 Y 0.000 0.314 0.000  0.06
2 Y 0.759 0.759 0.519  0.00
3 Y 0.000 0.686 0.000  0.06
4 Y 0.241 0.241 0.481  0.00
5 Tm 0.845 0.168 0.690  0.01
6 Tm 0.845 0.521 0.690  0.01
7 Tm 0.155 0.479 0.310  0.01
8 Tm 0.155 0.832 0.310  0.01
9 Tm 0.500 0.000 0.000  0.02
10 Th 0.893 0.893 0.786  0.00
11 Th 0.107 0.107 0.214  0.00

Summary:
relative energy among the computed polymorphs	0.4598	eV/atom
E	-5.218	eV/atom
space-group type	No. 71

Record 8
A relaxed structure of Y7TmTh2. Source: the Alexandria database, functional PBE.

abc: 5.543 9.373 9.373
angles: 55.96 90.00 90.00
Sites, in units of the cell vectors:
1 Y 0.000 0.212 0.212
2 Y 0.000 0.788 0.788
3 Y 0.500 0.935 0.287
4 Y 0.500 0.065 0.713
5 Y 0.500 0.713 0.065
6 Y 0.500 0.287 0.935
7 Y 0.500 0.500 0.500
8 Tm 0.000 0.000 0.000
9 Th 0.500 0.295 0.295
10 Th 0.500 0.705 0.705

Summary:
E	-5.676	eV/atom
space-group type	No. 65

Quick rundown of total magnetization, same order as above: 0.00 0.00 0.00 0.00 0.00 0.00 0.28 0.00 μB/cell